Entry 1:
First-principles (GGA-PBE) data for an optimized crystal structure of Tb2PmSmSe4, as listed in Alexandria via LeMat-Bulk.

abc: 7.1484 4.0852 7.2613
angles: 90.00 108.81 90.00
With the nearest neighbours (Å) after each atom.
Space group P2/m (No. 10)
Symmetry-distinct sites (fractional):
Tb  0.0000  0.0000  0.0000 [1 per cell]  6 Se 2.90
Tb  0.5000  0.5000  0.0000 [1 per cell]  6 Se 2.89
Pm  0.0000  0.5000  0.5000 [1 per cell]  6 Se 2.97
Sm  0.5000  0.0000  0.5000 [1 per cell]  6 Se 2.96
Se  0.2481  0.5000  0.2419 [2 per cell]  3 Tb 2.89-2.90, 2 Sm 2.96, 1 Pm 2.97
Se  0.2539  0.0000  0.7588 [2 per cell]  3 Tb 2.89-2.90, 1 Sm 2.96, 2 Pm 2.97

Properties
E_tot: -5.88 eV/atom
E_form (uncorrected): -1.80 eV per atom
Total magnetization: 0.0 μB per formula unit

---

Entry 2:
First-principles (GGA-PBE) data for an optimized crystal structure of LaZr2W, as listed in Alexandria via LeMat-Bulk.

abc: 3.0562 4.7118 6.3146
angles: 90.00 90.00 90.00
With the nearest neighbours (Å) after each atom.
Space group Pmmm (No. 47)
Symmetry-distinct sites (fractional):
La  0.0000  0.0000  0.0000 [1 per cell]  2 La 3.06, 2 W 3.16, 8 Zr 3.32
Zr  0.5000  0.5000  0.2803 [2 per cell]  3 Zr 2.78-3.06
W  0.0000  0.0000  0.5000 [1 per cell]  2 W 3.06, 8 Zr 3.13, 2 La 3.16

Properties
E_tot: -8.30 eV/atom
DFT formation energy: 0.45 eV per atom
ΔE to the lowest computed polymorph: 0.274 eV per atom
Total magnetization: 0.0 μB per formula unit

---

Entry 3:
First-principles (GGA-PBE) data for an optimized crystal structure of CaTmSn, as listed in Alexandria via LeMat-Bulk.

abc: 5.2329 5.2329 3.7292
angles: 90.00 90.00 120.00
With the nearest neighbours (Å) after each atom.
Space group P3m1 (No. 156)
Symmetry-distinct sites (fractional):
Ca  0.0000  0.0000  0.0000 [1 per cell]  3 Sn 3.27, 6 Tm 3.46-3.65
Tm  0.6667  0.3333  0.5480 [1 per cell]  3 Sn 3.13, 3 Ca 3.46
Sn  0.3333  0.6667  0.3332 [1 per cell]  3 Tm 3.13, 3 Ca 3.27

Properties
E_tot: -3.81 eV/atom
DFT formation energy: -0.32 eV per atom
Total magnetization: 0.0 μB per formula unit

---

Entry 4:
First-principles (GGA-PBE) data for an optimized crystal structure of RbSnF2, as listed in Alexandria via LeMat-Bulk.

abc: 6.9928 6.9928 7.9494
angles: 90.00 90.00 90.00
With the nearest neighbours (Å) after each atom.
Space group I-42d (No. 122)
Symmetry-distinct sites (fractional):
Rb  0.0000  0.0000  0.0000 [4 per cell]  4 F 2.82
Sn  0.0000  0.0000  0.5000 [4 per cell]  4 F 2.52
F  0.2166  0.7500  0.6250 [8 per cell]  2 Sn 2.52

Properties
E_tot: -3.95 eV/atom
E_form (uncorrected): -1.77 eV per atom
ΔE to the lowest computed polymorph: 0.299 eV per atom
Total magnetization: 1.0 μB per formula unit

---

Entry 5:
First-principles (GGA-PBE) data for an optimized crystal structure of Cs2RbTlCl6, as listed in Alexandria via LeMat-Bulk.

abc: 7.6884 11.4839 8.8357
angles: 90.00 90.00 90.00
With the nearest neighbours (Å) after each atom.
Space group Pmmn (No. 59, origin choice 2)
Symmetry-distinct sites (fractional):
Cs  0.2500  0.0289  0.1906 [4 per cell]  7 Cl 3.55-3.85
Rb  0.2500  0.2500  0.7019 [2 per cell]  6 Cl 3.21-3.26
Tl  0.2500  0.7500  0.7889 [2 per cell]  6 Cl 2.61-2.67
Cl  0.0006  0.2500  0.4104 [4 per cell]  1 Tl 2.61
Cl  0.0147  0.7500  0.0103 [4 per cell]  1 Tl 2.67
Cl  0.2500  0.5207  0.7942 [4 per cell]  1 Tl 2.63

Properties
E_tot: -3.11 eV/atom
E_form (uncorrected): -1.50 eV per atom
ΔE to the lowest computed polymorph: 0.000 eV per atom
Total magnetization: 0.0 μB per formula unit

---

Entry 6:
First-principles (GGA-PBE) data for an optimized crystal structure of SbAuF6, as listed in Alexandria via LeMat-Bulk.

abc: 5.5131 5.5150 6.0068
angles: 112.64 94.26 118.88
With the nearest neighbours (Å) after each atom.
Space group P-1 (No. 2)
Symmetry-distinct sites (fractional):
Sb  0.0000  0.0000  0.0000 [1 per cell]  6 F 1.92-1.96
Au  0.5000  0.0000  0.5000 [1 per cell]  2 F 2.28
F  0.0522  0.3961  0.2119 [2 per cell]  1 Sb 1.92
F  0.2049  0.1698  0.7985 [2 per cell]  1 Sb 1.92
F  0.3706  0.1415  0.2245 [2 per cell]  1 Sb 1.96

Properties
E_tot: -4.15 eV/atom
E_form (uncorrected): -1.82 eV per atom
Total magnetization: 0.0 μB per formula unit

---

Entry 7:
First-principles (GGA-PBE) data for an optimized crystal structure of PaAlSi, as listed in Alexandria via LeMat-Bulk.

abc: 4.3353 15.7375 3.5915
angles: 90.00 90.00 90.00
With the nearest neighbours (Å) after each atom.
Space group Cmcm (No. 63)
Symmetry-distinct sites (fractional):
Pa  0.0000  0.0945  0.2500 [4 per cell]  6 Si 2.90-3.13, 1 Al 3.05
Al  0.0000  0.2883  0.2500 [4 per cell]  1 Si 2.56
Si  0.0000  0.4507  0.2500 [4 per cell]  2 Si 2.37, 1 Al 2.56

Properties
E_tot: -6.44 eV/atom
E_form (uncorrected): -0.22 eV per atom
Total magnetization: 0.0 μB per formula unit

---

Entry 8:
First-principles (GGA-PBE) data for an optimized crystal structure of BP, as listed in Alexandria via LeMat-Bulk.

abc: 4.3282 4.3282 4.3282
angles: 90.00 90.00 90.00
With the nearest neighbours (Å) after each atom.
Space group Fm-3m (No. 225)
Symmetry-distinct sites (fractional):
B  0.0000  0.0000  0.0000 [4 per cell]  6 P 2.16
P  0.0000  0.0000  0.5000 [4 per cell]  6 B 2.16

Properties
E_tot: -5.42 eV/atom
DFT formation energy: 0.63 eV per atom
Total magnetization: 0.0 μB per formula unit

---

Entry 9:
First-principles (GGA-PBE) data for an optimized crystal structure of MnCo2Re, as listed in Alexandria via LeMat-Bulk.

abc: 5.8332 5.8332 5.8332
angles: 90.00 90.00 90.00
With the nearest neighbours (Å) after each atom.
Space group Fm-3m (No. 225)
Symmetry-distinct sites (fractional):
Mn  0.0000  0.0000  0.0000 [4 per cell]  8 Co 2.53
Co  0.2500  0.2500  0.2500 [8 per cell]  4 Mn 2.53, 4 Re 2.53
Re  0.0000  0.0000  0.5000 [4 per cell]  8 Co 2.53

Properties
E_tot: -8.80 eV/atom
DFT formation energy: 0.16 eV per atom
ΔE to the lowest computed polymorph: 0.143 eV per atom
Total magnetization: 6.0 μB per formula unit

---

Entry 10:
First-principles (GGA-PBE) data for an optimized crystal structure of TiSn4Ru, as listed in Alexandria via LeMat-Bulk.

abc: 6.6976 6.6976 11.3922
angles: 90.00 90.00 90.00
With the nearest neighbours (Å) after each atom.
Space group I4/mcm (No. 140)
Symmetry-distinct sites (fractional):
Ti  0.0000  0.0000  0.2500 [4 per cell]  2 Ru 2.85, 8 Sn 2.90
Sn  0.1568  0.3432  0.1254 [16 per cell]  2 Sn 2.86-2.97, 2 Ti 2.90, 2 Ru 2.90
Ru  0.0000  0.0000  0.0000 [4 per cell]  2 Ti 2.85, 8 Sn 2.90

Properties
E_tot: -5.68 eV/atom
DFT formation energy: -0.15 eV per atom
Total magnetization: 0.0 μB per formula unit

---

Entry 11:
First-principles (GGA-PBE) data for an optimized crystal structure of KP2PtS, as listed in Alexandria via LeMat-Bulk.

abc: 5.1166 5.1166 5.1065
angles: 90.00 90.00 90.00
With the nearest neighbours (Å) after each atom.
Space group P4/mmm (No. 123)
Symmetry-distinct sites (fractional):
K  0.0000  0.0000  0.0000 [1 per cell]  2 S 2.55, 4 P 2.56
P  0.0000  0.5000  0.0000 [2 per cell]  2 K 2.56
Pt  0.5000  0.5000  0.5000 [1 per cell]  8 P 3.61, 4 S 3.62
S  0.0000  0.0000  0.5000 [1 per cell]  2 K 2.55

Properties
E_tot: -2.16 eV/atom
E_form (uncorrected): 2.25 eV per atom
ΔE to the lowest computed polymorph: 2.067 eV per atom
Total magnetization: 0.0 μB per formula unit

---

Entry 12:
First-principles (GGA-PBE) data for an optimized crystal structure of Sc5Bi5Sb, as listed in Alexandria via LeMat-Bulk.

abc: 13.3626 5.8953 8.4640
angles: 90.00 109.17 90.00
With the nearest neighbours (Å) after each atom.
Space group C2/m (No. 12)
Symmetry-distinct sites (fractional):
Sc  0.0000  0.0000  0.0000 [2 per cell]  2 Sb 2.95, 4 Bi 2.98-3.00
Sc  0.1659  0.5000  0.3267 [4 per cell]  1 Sb 2.92, 5 Bi 2.95-3.03
Sc  0.1687  0.5000  0.8421 [4 per cell]  5 Bi 2.96-3.14, 1 Sb 2.97
Bi  0.0000  0.5000  0.5000 [2 per cell]  4 Sc 3.03
Bi  0.1539  0.0000  0.8094 [4 per cell]  5 Sc 2.96-3.12
Bi  0.1616  0.0000  0.3411 [4 per cell]  5 Sc 2.95-3.14
Sb  0.0000  0.5000  0.0000 [2 per cell]  6 Sc 2.92-2.97

Properties
E_tot: -5.56 eV/atom
E_form (uncorrected): -0.54 eV per atom
Total magnetization: 0.0 μB per formula unit